VASP calculation (PBE) on a relaxed TlNiW crystal.

The value obtained for the energy relative to the elements is 1.31 eV per atom.

a b c (Å): 6.2152 6.2152 6.2152
angles (deg): 90.00 90.00 90.00
With the nearest neighbours (Å) after each atom.
Fractional coordinates of all 12 atoms:
Tl 0.0000 0.0000 0.0000  4 W 2.69
Tl 0.0000 0.5000 0.5000  4 W 2.69
Tl 0.5000 0.0000 0.5000  4 W 2.69
Tl 0.5000 0.5000 0.0000  4 W 2.69
Ni 0.0000 0.0000 0.5000  4 W 2.69
Ni 0.0000 0.5000 0.0000  4 W 2.69
Ni 0.5000 0.0000 0.0000  4 W 2.69
Ni 0.5000 0.5000 0.5000  4 W 2.69
W 0.2500 0.2500 0.7500  4 Tl 2.69, 4 Ni 2.69
W 0.2500 0.7500 0.2500  4 Tl 2.69, 4 Ni 2.69
W 0.7500 0.2500 0.2500  4 Tl 2.69, 4 Ni 2.69
W 0.7500 0.7500 0.7500  4 Tl 2.69, 4 Ni 2.69